# 1
Computed, not measured: Pm2Dy7In2 after structural relaxation at the PBE level of DFT.

a b c (Å): 6.5078 6.5078 8.5129
angles (deg): 102.03 102.03 97.35
Atoms (fractional coordinates):
Pm (0.1808, 0.8192, 0.0000)
Pm (0.8192, 0.1808, 0.0000)
Dy (0.0225, 0.3818, 0.6733)
Dy (0.3586, 0.3586, 0.0853)
Dy (0.3818, 0.0225, 0.6733)
Dy (0.5000, 0.5000, 0.5000)
Dy (0.6182, 0.9775, 0.3267)
Dy (0.6414, 0.6414, 0.9147)
Dy (0.9775, 0.6182, 0.3267)
In (0.1250, 0.1250, 0.3361)
In (0.8750, 0.8750, 0.6639)

- SG: C2/m
- E: -4.4181 eV per atom
- D(E_F): 1.14 states/eV/atom

# 2
Computed, not measured: Pm7DyIn2 after structural relaxation at the PBE level of DFT.

a b c (Å): 9.2267 9.2267 5.4109
angles (deg): 90.00 90.00 119.42
Atoms (fractional coordinates):
Pm (0.0000, 0.0000, 0.0000)
Pm (0.1983, 0.4387, 0.0000)
Pm (0.2765, 0.7235, 0.5000)
Pm (0.4387, 0.1983, 0.0000)
Pm (0.5613, 0.8017, 0.0000)
Pm (0.7235, 0.2765, 0.5000)
Pm (0.8017, 0.5613, 0.0000)
Dy (0.5000, 0.5000, 0.5000)
In (0.1955, 0.8045, 0.0000)
In (0.8045, 0.1955, 0.0000)

- SG: Cmmm
- E: -4.0080 eV per atom
- D(E_F): 2.04 states/eV/atom

# 3
Computed, not measured: Pm5Dy12In2 after structural relaxation at the PBE level of DFT.

a b c (Å): 9.0133 9.0133 8.4017
angles (deg): 91.93 91.93 62.26
Atoms (fractional coordinates):
Pm (0.0000, 0.0000, 0.0000)
Pm (0.2333, 0.2333, 0.0775)
Pm (0.3063, 0.3063, 0.4884)
Pm (0.6937, 0.6937, 0.5116)
Pm (0.7667, 0.7667, 0.9225)
Dy (0.0390, 0.6712, 0.2644)
Dy (0.0787, 0.0787, 0.3812)
Dy (0.1802, 0.5668, 0.8311)
Dy (0.3288, 0.9610, 0.7356)
Dy (0.4332, 0.8198, 0.1689)
Dy (0.4462, 0.4462, 0.1743)
Dy (0.5538, 0.5538, 0.8257)
Dy (0.5668, 0.1802, 0.8311)
Dy (0.6712, 0.0390, 0.2644)
Dy (0.8198, 0.4332, 0.1689)
Dy (0.9213, 0.9213, 0.6188)
Dy (0.9610, 0.3288, 0.7356)
In (0.3215, 0.6785, 0.5000)
In (0.6785, 0.3215, 0.5000)

- SG: C2/m
- E: -4.4578 eV per atom
- D(E_F): 1.38 states/eV/atom

# 4
Computed, not measured: Pm12Dy7In after structural relaxation at the PBE level of DFT.

a b c (Å): 9.9856 9.9856 9.9856
angles (deg): 109.47 109.47 109.47
Atoms (fractional coordinates):
Pm (0.0000, 0.2219, 0.7781)
Pm (0.0000, 0.7781, 0.2219)
Pm (0.2219, 0.0000, 0.7781)
Pm (0.2219, 0.2219, 0.4437)
Pm (0.2219, 0.4437, 0.2219)
Pm (0.2219, 0.7781, 0.0000)
Pm (0.4437, 0.2219, 0.2219)
Pm (0.5563, 0.7781, 0.7781)
Pm (0.7781, 0.0000, 0.2219)
Pm (0.7781, 0.2219, 0.0000)
Pm (0.7781, 0.5563, 0.7781)
Pm (0.7781, 0.7781, 0.5563)
Dy (0.0000, 0.0000, 0.5000)
Dy (0.0000, 0.5000, 0.0000)
Dy (0.0000, 0.5000, 0.5000)
Dy (0.5000, 0.0000, 0.0000)
Dy (0.5000, 0.0000, 0.5000)
Dy (0.5000, 0.5000, 0.0000)
Dy (0.5000, 0.5000, 0.5000)
In (0.0000, 0.0000, 0.0000)

- SG: Im-3m
- E: -3.9458 eV per atom
- D(E_F): 1.66 states/eV/atom
- Distance to the lowest polymorph of the same formula: 0.494 eV/atom

# 5
Computed, not measured: Pm4Dy9In11 after structural relaxation at the PBE level of DFT.

a b c (Å): 14.2129 14.2129 3.4991
angles (deg): 90.00 90.00 111.21
Atoms (fractional coordinates):
Pm (0.0937, 0.2565, 0.0000)
Pm (0.2565, 0.0937, 0.0000)
Pm (0.7435, 0.9063, 0.0000)
Pm (0.9063, 0.7435, 0.0000)
Dy (0.0000, 0.0000, 0.0000)
Dy (0.1111, 0.6661, 0.0000)
Dy (0.2970, 0.4910, 0.0000)
Dy (0.3339, 0.8889, 0.0000)
Dy (0.4910, 0.2970, 0.0000)
Dy (0.5090, 0.7030, 0.0000)
Dy (0.6661, 0.1111, 0.0000)
Dy (0.7030, 0.5090, 0.0000)
Dy (0.8889, 0.3339, 0.0000)
In (0.0909, 0.4606, 0.5000)
In (0.1211, 0.8789, 0.5000)
In (0.3013, 0.3013, 0.5000)
In (0.3107, 0.6893, 0.5000)
In (0.4606, 0.0909, 0.5000)
In (0.5000, 0.5000, 0.5000)
In (0.5394, 0.9091, 0.5000)
In (0.6893, 0.3107, 0.5000)
In (0.6987, 0.6987, 0.5000)
In (0.8789, 0.1211, 0.5000)
In (0.9091, 0.5394, 0.5000)

- SG: Cmmm
- E: -4.1753 eV per atom
- D(E_F): 0.82 states/eV/atom

# 6
Computed, not measured: Pm3Dy2In7 after structural relaxation at the PBE level of DFT.

a b c (Å): 12.9063 12.9063 5.4093
angles (deg): 90.00 90.00 156.78
Atoms (fractional coordinates):
Pm (0.0000, 0.0000, 0.0000)
Pm (0.1575, 0.8425, 0.0000)
Pm (0.8425, 0.1575, 0.0000)
Dy (0.3547, 0.6453, 0.5000)
Dy (0.6453, 0.3547, 0.5000)
In (0.0748, 0.9252, 0.5000)
In (0.2265, 0.7735, 0.5000)
In (0.4205, 0.5795, 0.0000)
In (0.5000, 0.5000, 0.5000)
In (0.5795, 0.4205, 0.0000)
In (0.7735, 0.2265, 0.5000)
In (0.9252, 0.0748, 0.5000)

- SG: Cmmm
- E: -3.7813 eV per atom
- D(E_F): 0.85 states/eV/atom